KMnTlO4 | GGA+U | optimized geometry

Calculated values
**Magnetization**: 1.00 μB/f.u.
**Total DFT energy (no corrections)**: -0.20018 Ha/atom
**Density of states at the Fermi level**: 3.334 states/eV/cell

abc: 6.3635 10.3169 8.2495
angles: 90.00 90.00 90.00
Last column: nearest neighbours and their distance in Å.
Space group Cmcm (No. 63)
Unique sites:
K 0.0000 0.0000 0.0000 [4 per cell]  6 O 2.80-2.81
Mn 0.0000 0.3533 0.2500 [4 per cell]  4 O 1.65-1.68
Tl 0.0000 0.3221 0.7500 [4 per cell]  4 O 2.70-2.82
O 0.0000 0.2635 0.0840 [8 per cell]  1 Mn 1.65
O 0.2120 0.4511 0.2500 [8 per cell]  1 Mn 1.68